Record 1
Material: Gd2Y2CI5
Method: DFT, PBE
State: optimized geometry

The space group is C2/m (No. 12) and the conventional cell measures 19.1224, 3.9893 and 8.6520 Å, with angles of 90.00, 102.74 and 90.00 degrees. Symmetry generates all atoms from Gd at (0.1302, 0.0000, 0.0647), Y at (0.9996, 0.5000, 0.1889), C at (0.0000, 0.0000, 0.0000), I at (0.0000, 0.0000, 0.5000), I at (0.1629, 0.5000, 0.3418) and I at (0.1669, 0.5000, 0.8198).

As for the volume: 32.2 Å³/atom. The value obtained for the calculated density is 5.9 g/cm³. The total magnetization is 0.03 μB/f.u. Its polymorph energy (0 for the lowest one) is 0.004 eV/atom. As for the total DFT energy (no corrections): -5.0331 eV/atom.

Record 2
Material: GdIn3C3
Method: DFT, PBE
State: optimized geometry

The space group is P6_3/mmc (No. 194) and the conventional cell measures 3.7528, 3.7528 and 19.1383 Å, with angles of 90.00, 90.00 and 120.00 degrees. Symmetry generates all atoms from Gd at (0.0000, 0.0000, 0.0000), In at (0.3333, 0.6667, 0.1246), In at (0.3333, 0.6667, 0.7500), C at (0.3333, 0.6667, 0.2500) and C at (0.3333, 0.6667, 0.5772).

As for the volume: 16.7 Å³/atom. The value obtained for the calculated density is 7.7 g/cm³. The total magnetization is 0.00 μB/f.u. As for the total DFT energy (no corrections): -5.2468 eV/atom.

Record 3
Material: NdGdIr2C2N2
Method: DFT, PBE
State: optimized geometry

The space group is P4mm (No. 99) and the conventional cell measures 3.7609, 3.7609 and 7.4375 Å, with angles of 90.00, 90.00 and 90.00 degrees. Symmetry generates all atoms from Nd at (0.0000, 0.0000, 0.0000), Gd at (0.5000, 0.5000, 0.6627), Ir at (0.0000, 0.5000, 0.3346), C at (0.0000, 0.0000, 0.4869), C at (0.5000, 0.5000, 0.1716), N at (0.0000, 0.0000, 0.6739) and N at (0.5000, 0.5000, 0.9850).

As for the volume: 13.1 Å³/atom. The value obtained for the calculated density is 11.6 g/cm³. The total magnetization is 0.00 μB/f.u. As for the total DFT energy (no corrections): -8.2670 eV/atom.

Record 4
Material: SmGdIr2C2N2
Method: DFT, PBE
State: optimized geometry

The space group is P4mm (No. 99) and the conventional cell measures 3.7489, 3.7489 and 7.4010 Å, with angles of 90.00, 90.00 and 90.00 degrees. Symmetry generates all atoms from Sm at (0.0000, 0.0000, 0.0000), Gd at (0.5000, 0.5000, 0.6635), Ir at (0.0000, 0.5000, 0.3333), C at (0.0000, 0.0000, 0.4891), C at (0.5000, 0.5000, 0.1721), N at (0.0000, 0.0000, 0.6771) and N at (0.5000, 0.5000, 0.9843).

As for the volume: 13.0 Å³/atom. The value obtained for the calculated density is 11.9 g/cm³. The total magnetization is 0.00 μB/f.u. As for the total DFT energy (no corrections): -8.2738 eV/atom.

Record 5
Material: TbGdIr2C2N2
Method: DFT, PBE
State: optimized geometry

The space group is P4mm (No. 99) and the conventional cell measures 3.7356, 3.7356 and 7.3468 Å, with angles of 90.00, 90.00 and 90.00 degrees. Symmetry generates all atoms from Tb at (0.0000, 0.0000, 0.0000), Gd at (0.5000, 0.5000, 0.3351), Ir at (0.0000, 0.5000, 0.6681), C at (0.0000, 0.0000, 0.5074), C at (0.5000, 0.5000, 0.8266), N at (0.0000, 0.0000, 0.3179) and N at (0.5000, 0.5000, 0.0162).

As for the volume: 12.8 Å³/atom. The value obtained for the calculated density is 12.2 g/cm³. The total magnetization is 0.00 μB/f.u. As for the total DFT energy (no corrections): -8.2731 eV/atom.

Record 6
Material: KGdC2O6
Method: DFT, PBE
State: optimized geometry

The space group is C2/c (No. 15) and the conventional cell measures 8.4731, 9.5550 and 6.8677 Å, with angles of 90.00, 110.56 and 90.00 degrees. Symmetry generates all atoms from K at (0.0000, 0.1222, 0.2500), Gd at (0.0000, 0.4032, 0.7500), C at (0.2338, 0.3784, 0.2611), O at (0.0860, 0.3819, 0.1105), O at (0.1691, 0.2267, 0.7155) and O at (0.2288, 0.0159, 0.6136).

As for the volume: 13.0 Å³/atom. The value obtained for the calculated density is 4.0 g/cm³. The total magnetization is 0.00 μB/f.u. As for the total DFT energy (no corrections): -7.5413 eV/atom.

Record 7
Material: LaGdMo2C3
Method: DFT, PBE
State: optimized geometry

The space group is Cm (No. 8) and the conventional cell measures 11.4223, 3.4735 and 5.8884 Å, with angles of 90.00, 105.73 and 90.00 degrees. Symmetry generates all atoms from La at (0.0000, 0.0000, 0.0000), Gd at (0.2802, 0.5000, 0.3494), Mo at (0.0456, 0.5000, 0.5569), Mo at (0.2388, 0.0000, 0.7842), C at (0.1188, 0.0000, 0.4416), C at (0.1716, 0.5000, 0.9056) and C at (0.3897, 0.0000, 0.6606).

As for the volume: 16.1 Å³/atom. The value obtained for the calculated density is 7.7 g/cm³. The total magnetization is 0.00 μB/f.u. As for the total DFT energy (no corrections): -8.6396 eV/atom.

Record 8
Material: LaGdW2C3
Method: DFT, PBE
State: optimized geometry

The space group is Cm (No. 8) and the conventional cell measures 12.2476, 3.3974 and 5.9023 Å, with angles of 90.00, 115.07 and 90.00 degrees. Symmetry generates all atoms from La at (0.0000, 0.0000, 0.0000), Gd at (0.2854, 0.5000, 0.3748), W at (0.0556, 0.5000, 0.5202), W at (0.2387, 0.0000, 0.8755), C at (0.1461, 0.0000, 0.4693), C at (0.1500, 0.5000, 0.9236) and C at (0.3943, 0.0000, 0.2072).

As for the volume: 15.9 Å³/atom. The value obtained for the calculated density is 10.4 g/cm³. The total magnetization is 0.01 μB/f.u. As for the total DFT energy (no corrections): -9.2458 eV/atom.

Record 9
Material: GdLuPbC
Method: DFT, PBE
State: optimized geometry

The space group is P-6m2 (No. 187) and the conventional cell measures 3.6147, 3.6147 and 16.0648 Å, with angles of 90.00, 90.00 and 120.00 degrees. Symmetry generates all atoms from Gd at (0.0000, 0.0000, 0.1712), Lu at (0.3333, 0.6667, 0.3356), Pb at (0.0000, 0.0000, 0.5000), Pb at (0.3333, 0.6667, 0.0000) and C at (0.6667, 0.3333, 0.2570).

As for the volume: 22.7 Å³/atom. The value obtained for the calculated density is 10.1 g/cm³. The total magnetization is 0.00 μB/f.u. Its polymorph energy (0 for the lowest one) is 0.003 eV/atom. As for the total DFT energy (no corrections): -6.0200 eV/atom.

Record 10
Material: GdLu3Pb2C2
Method: DFT, PBE
State: optimized geometry

The space group is P3m1 (No. 156) and the conventional cell measures 3.5797, 3.5797 and 15.8596 Å, with angles of 90.00, 90.00 and 120.00 degrees. Symmetry generates all atoms from Gd at (0.0000, 0.0000, 0.0000), Lu at (0.0000, 0.0000, 0.3378), Lu at (0.3333, 0.6667, 0.4988), Lu at (0.3333, 0.6667, 0.8333), Pb at (0.0000, 0.0000, 0.6660), Pb at (0.3333, 0.6667, 0.1721), C at (0.6667, 0.3333, 0.4187) and C at (0.6667, 0.3333, 0.9123).

As for the volume: 22.0 Å³/atom. The value obtained for the calculated density is 10.6 g/cm³. The total magnetization is 0.00 μB/f.u. As for the total DFT energy (no corrections): -6.0341 eV/atom.

Record 11
Material: GdLuPbC
Method: DFT, PBE
State: optimized geometry

The space group is P6_3mc (No. 186) and the conventional cell measures 3.6161, 3.6161 and 16.0421 Å, with angles of 90.00, 90.00 and 120.00 degrees. Symmetry generates all atoms from Gd at (0.3333, 0.6667, 0.0000), Lu at (0.3333, 0.6667, 0.3354), Pb at (0.3333, 0.6667, 0.6702) and C at (0.0000, 0.0000, 0.4143).

As for the volume: 22.7 Å³/atom. The value obtained for the calculated density is 10.1 g/cm³. The total magnetization is 0.01 μB/f.u. Its polymorph energy (0 for the lowest one) is 0.003 eV/atom. As for the total DFT energy (no corrections): -6.0206 eV/atom.

Record 12
Material: GdLuPbC
Method: DFT, PBE
State: optimized geometry

The space group is P-3m1 (No. 164) and the conventional cell measures 3.6112, 3.6112 and 16.0491 Å, with angles of 90.00, 90.00 and 120.00 degrees. Symmetry generates all atoms from Gd at (0.3333, 0.6667, 0.0849), Lu at (0.3333, 0.6667, 0.4205), Pb at (0.3333, 0.6667, 0.7446), C at (0.0000, 0.0000, 0.0000) and C at (0.0000, 0.0000, 0.5000).

As for the volume: 22.7 Å³/atom. The value obtained for the calculated density is 10.1 g/cm³. The total magnetization is 0.01 μB/f.u. Its polymorph energy (0 for the lowest one) is 0.000 eV/atom. As for the total DFT energy (no corrections): -6.0234 eV/atom.

Record 13
Material: GdLu3C2S2
Method: DFT, PBE
State: optimized geometry

The space group is P3m1 (No. 156) and the conventional cell measures 3.6433, 3.6433 and 12.6818 Å, with angles of 90.00, 90.00 and 120.00 degrees. Symmetry generates all atoms from Gd at (0.0000, 0.0000, 0.0000), Lu at (0.0000, 0.0000, 0.7029), Lu at (0.3333, 0.6667, 0.2111), Lu at (0.3333, 0.6667, 0.5005), C at (0.6667, 0.3333, 0.1088), C at (0.6667, 0.3333, 0.6006), S at (0.0000, 0.0000, 0.3545) and S at (0.3333, 0.6667, 0.8455).

As for the volume: 18.2 Å³/atom. The value obtained for the calculated density is 8.8 g/cm³. The total magnetization is 0.03 μB/f.u. As for the total DFT energy (no corrections): -6.9049 eV/atom.

Record 14
Material: Gd6Mg23C
Method: DFT, PBE
State: optimized geometry

The space group is Fm-3m (No. 225) and the conventional cell measures 14.2561, 14.2561 and 14.2561 Å, with angles of 90.00, 90.00 and 90.00 degrees. Symmetry generates all atoms from Gd at (0.0000, 0.0000, 0.1789), Mg at (0.0000, 0.0000, 0.5000), Mg at (0.0000, 0.2500, 0.2500), Mg at (0.1201, 0.1201, 0.3799), Mg at (0.1697, 0.1697, 0.1697) and C at (0.0000, 0.0000, 0.0000).

As for the volume: 24.1 Å³/atom. The value obtained for the calculated density is 3.5 g/cm³. The total magnetization is 0.08 μB/f.u. As for the total DFT energy (no corrections): -2.5160 eV/atom.

Record 15
Material: NdGdSi2Mo2C
Method: DFT, PBE
State: optimized geometry

The space group is Cm (No. 8) and the conventional cell measures 11.2117, 3.8842 and 7.2812 Å, with angles of 90.00, 125.86 and 90.00 degrees. Symmetry generates all atoms from Nd at (0.0000, 0.0000, 0.0000), Gd at (0.3493, 0.5000, 0.4039), Si at (0.0569, 0.5000, 0.3715), Si at (0.2905, 0.0000, 0.0316), Mo at (0.1288, 0.5000, 0.7799), Mo at (0.2174, 0.0000, 0.6179) and C at (0.4218, 0.0000, 0.6942).

As for the volume: 18.4 Å³/atom. The value obtained for the calculated density is 7.3 g/cm³. The total magnetization is 0.01 μB/f.u. As for the total DFT energy (no corrections): -7.8705 eV/atom.

Record 16
Material: PrGdSi2Mo2C
Method: DFT, PBE
State: optimized geometry

The space group is Cm (No. 8) and the conventional cell measures 11.2278, 3.8968 and 7.3048 Å, with angles of 90.00, 125.91 and 90.00 degrees. Symmetry generates all atoms from Pr at (0.0000, 0.0000, 0.0000), Gd at (0.3491, 0.5000, 0.4032), Si at (0.0568, 0.5000, 0.3720), Si at (0.2898, 0.0000, 0.0300), Mo at (0.1282, 0.5000, 0.7781), Mo at (0.2169, 0.0000, 0.6172) and C at (0.4210, 0.0000, 0.6917).

As for the volume: 18.5 Å³/atom. The value obtained for the calculated density is 7.2 g/cm³. The total magnetization is 0.01 μB/f.u. As for the total DFT energy (no corrections): -7.8592 eV/atom.

Record 17
Material: GdScMo2C3
Method: DFT, PBE
State: optimized geometry

The space group is Cm (No. 8) and the conventional cell measures 11.2499, 3.3393 and 5.6055 Å, with angles of 90.00, 108.93 and 90.00 degrees. Symmetry generates all atoms from Gd at (0.0000, 0.0000, 0.0000), Sc at (0.2322, 0.0000, 0.6350), Mo at (0.2613, 0.5000, 0.1896), Mo at (0.4651, 0.0000, 0.4532), C at (0.1173, 0.5000, 0.3384), C at (0.3379, 0.0000, 0.0674) and C at (0.3788, 0.5000, 0.5624).

As for the volume: 14.2 Å³/atom. The value obtained for the calculated density is 7.2 g/cm³. The total magnetization is 0.00 μB/f.u. As for the total DFT energy (no corrections): -8.9323 eV/atom.

Record 18
Material: Gd2Si2MoWC
Method: DFT, PBE
State: optimized geometry

The space group is Cm (No. 8) and the conventional cell measures 11.1078, 3.8666 and 7.1765 Å, with angles of 90.00, 125.44 and 90.00 degrees. Symmetry generates all atoms from Gd at (0.0000, 0.0000, 0.0000), Gd at (0.1504, 0.0000, 0.5954), Si at (0.2076, 0.5000, 0.9622), Si at (0.4428, 0.0000, 0.6329), Mo at (0.2824, 0.5000, 0.3805), W at (0.3685, 0.0000, 0.2155) and C at (0.0745, 0.5000, 0.2975).

As for the volume: 17.9 Å³/atom. The value obtained for the calculated density is 8.8 g/cm³. The total magnetization is 0.00 μB/f.u. As for the total DFT energy (no corrections): -8.1630 eV/atom.

Record 19
Material: TbGdMo2C3
Method: DFT, PBE
State: optimized geometry

The space group is Cm (No. 8) and the conventional cell measures 11.3445, 3.4126 and 5.7405 Å, with angles of 90.00, 107.34 and 90.00 degrees. Symmetry generates all atoms from Tb at (0.0000, 0.0000, 0.0000), Gd at (0.2259, 0.0000, 0.6433), Mo at (0.2639, 0.5000, 0.1980), Mo at (0.4622, 0.0000, 0.4443), C at (0.1127, 0.5000, 0.3202), C at (0.3412, 0.0000, 0.0825) and C at (0.3856, 0.5000, 0.5609).

As for the volume: 15.2 Å³/atom. The value obtained for the calculated density is 8.5 g/cm³. The total magnetization is 0.01 μB/f.u. As for the total DFT energy (no corrections): -8.6806 eV/atom.

Record 20
Material: GdTmMo2C3
Method: DFT, PBE
State: optimized geometry

The space group is Cm (No. 8) and the conventional cell measures 11.3256, 3.3866 and 5.6962 Å, with angles of 90.00, 107.85 and 90.00 degrees. Symmetry generates all atoms from Gd at (0.0000, 0.0000, 0.0000), Tm at (0.2274, 0.0000, 0.6418), Mo at (0.2632, 0.5000, 0.1968), Mo at (0.4633, 0.0000, 0.4488), C at (0.1145, 0.5000, 0.3288), C at (0.3398, 0.0000, 0.0781) and C at (0.3823, 0.5000, 0.5633).

As for the volume: 14.9 Å³/atom. The value obtained for the calculated density is 8.8 g/cm³. The total magnetization is 0.00 μB/f.u. As for the total DFT energy (no corrections): -8.6769 eV/atom.